Material: ZnCdHg2
Method: DFT, GGA-PBEsol
State: relaxed

Lattice parameters (Å, degrees): 4.7930 4.7930 5.7959 102.95 102.95 39.26
Sites, in units of the cell vectors:
Zn (0.0000, 0.0000, 0.0000)
Cd (0.5000, 0.5000, 0.5000)
Hg (0.2579, 0.2579, 0.7666)
Hg (0.7421, 0.7421, 0.2334)

ΔH_f (0 K) = 16 kJ/mol of formula units
excess energy over the best structure of this formula in the dataset = 0.8 kJ per mole of atoms